5
Lattice="4.575 0.000 0.000 0.000 4.575 0.000 0.000 0.000 4.575" Properties=species:S:1:pos:R:3 comment="Li3TlNi PBE optimized geometry" magnetic_moment_mub_per_cell=0.00 e_tot_ev_per_atom=-2.58 polymorph_energy_mev_per_atom=0 space_group="No. 221" ef_ev_per_atom=0.1960 pbc="T T T"
Li 0.000 0.000 2.288
Tl 2.288 2.288 2.288
Li 0.000 2.288 0.000
Li 2.288 0.000 0.000
Ni 0.000 0.000 0.000